{"formula": "Co3O2F4", "functional": "PBE with a Hubbard U", "state": "optimized geometry", "cell": [[4.672, 0.000, 0.000], [0.044, 5.646, 0.000], [0.221, 0.522, 7.622]], "species": ["Co", "Co", "Co", "Co", "Co", "Co", "O", "O", "O", "O", "F", "F", "F", "F", "F", "F", "F", "F"], "fractional_positions": [[0.000, 0.000, 0.000], [0.004, 0.297, 0.631], [0.465, 0.836, 0.674], [0.508, 0.481, 0.988], [0.522, 0.157, 0.326], [0.986, 0.637, 0.326], [0.319, 0.768, 0.891], [0.325, 0.111, 0.541], [0.688, 0.204, 0.100], [0.803, 0.337, 0.421], [0.203, 0.607, 0.556], [0.209, 0.956, 0.231], [0.212, 0.282, 0.876], [0.295, 0.460, 0.212], [0.702, 0.833, 0.444], [0.717, 0.513, 0.759], [0.793, 0.696, 0.094], [0.809, 0.020, 0.759]], "rho_g_cm3": 4.70, "e_above_lowest_polymorph_mev_per_atom": 22.7, "dft_energy_ev_per_cell": -93.46}